[1]
Below is a relaxed structure of MgGe2Pt8, with properties calculated at the PBE-GGA level.

## Properties
DFT formation energy = -0.267 eV per atom
Density of states at the Fermi level = 5.323 states/eV/f.u.
Calculated density = 15.0 g/cm³

The structure in CIF format:
```
data_MgGe2Pt8
_space_group_name_H-M_alt 'C 1 2/m 1'
_space_group_IT_number 12
_space_group_name_Hall '-C 2y'
_cell_length_a 12.167
_cell_length_b 4.507
_cell_length_c 7.213
_cell_angle_alpha 90.00
_cell_angle_beta 104.34
_cell_angle_gamma 90.00
loop_
_atom_site_label
_atom_site_type_symbol
_atom_site_fract_x
_atom_site_fract_y
_atom_site_fract_z
_atom_site_occupancy
Mg1 Mg 0.000 0.000 0.000 1
Ge1 Ge 0.234 0.000 0.222 1
Pt1 Pt 0.055 0.500 0.703 1
Pt2 Pt 0.068 0.000 0.372 1
Pt3 Pt 0.188 0.000 0.871 1
Pt4 Pt 0.188 0.500 0.417 1
```

[2]
Below is a relaxed structure of K3RbSe, with properties calculated at the PBE-GGA level.

## Properties
Energy relative to the elements, uncorrected = -0.56 eV/atom
Density of states at the Fermi level = 1.061 states/eV/f.u.
Calculated density = 1.7 g/cm³

The structure in CIF format:
```
data_K3RbSe
_space_group_name_H-M_alt 'P m -3 m'
_space_group_IT_number 221
_space_group_name_Hall '-P 4 2 3'
_cell_length_a 6.563
_cell_length_b 6.563
_cell_length_c 6.563
_cell_angle_alpha 90.00
_cell_angle_beta 90.00
_cell_angle_gamma 90.00
loop_
_atom_site_label
_atom_site_type_symbol
_atom_site_fract_x
_atom_site_fract_y
_atom_site_fract_z
_atom_site_occupancy
K1 K 0.000 0.000 0.500 1
Rb1 Rb 0.500 0.500 0.500 1
Se1 Se 0.000 0.000 0.000 1
```

[3]
Below is a relaxed structure of Cr2HgIr, with properties calculated at the PBE-GGA level.

## Properties
DFT formation energy = 0.265 eV per atom
Density of states at the Fermi level = 2.664 states/eV/f.u.
Calculated density = 13.3 g/cm³

The structure in CIF format:
```
data_Cr2HgIr
_space_group_name_H-M_alt 'P 4 m m'
_space_group_IT_number 99
_space_group_name_Hall 'P 4 -2'
_cell_length_a 2.855
_cell_length_b 2.855
_cell_length_c 7.635
_cell_angle_alpha 90.00
_cell_angle_beta 90.00
_cell_angle_gamma 90.00
loop_
_atom_site_label
_atom_site_type_symbol
_atom_site_fract_x
_atom_site_fract_y
_atom_site_fract_z
_atom_site_occupancy
Cr1 Cr 0.000 0.000 0.000 1
Cr2 Cr 0.500 0.500 0.216 1
Hg1 Hg 0.000 0.000 0.500 1
Ir1 Ir 0.500 0.500 0.797 1
```